# 1
First-principles (GGA-PBE) data for a relaxed AuIO2F crystal, as listed in Alexandria via LeMat-Bulk.

Properties
The calculation puts the total magnetization at 0.45 Bohr magnetons per cell. Its uncorrected formation energy is 0.300 eV/atom.

Cell lengths 4.2572, 4.2572, 4.2820 Å; angles 90.00, 90.00, 90.00 degrees
Fractional coordinates of all 5 atoms:
Au 0.0000 0.0000 0.0000
I 0.5000 0.5000 0.5000
O 0.0000 0.5000 0.0000
O 0.5000 0.0000 0.0000
F 0.0000 0.0000 0.5000

=====

# 2
First-principles (GGA-PBE) data for a relaxed TiAl2Ir crystal, as listed in Alexandria via LeMat-Bulk.

Properties
The calculation puts the total magnetization at 0.00 Bohr magnetons per cell. The calculated formation energy is -63 kJ/mol of atoms.

Cell lengths 2.9376, 2.9376, 6.9865 Å; angles 90.00, 90.00, 90.00 degrees
Fractional coordinates of all 4 atoms:
Ti 0.0000 0.0000 0.0000
Al 0.5000 0.5000 0.2770
Al 0.5000 0.5000 0.7230
Ir 0.0000 0.0000 0.5000

=====

# 3
First-principles (GGA-PBE) data for a relaxed NdSm2Y crystal, as listed in Alexandria via LeMat-Bulk.

Properties
The calculation puts the total magnetization at 0.00 Bohr magnetons per cell. The calculated formation energy is 2 kJ/mol of atoms. Its polymorph energy (0 for the lowest one) is 8 meV/atom.

Cell lengths 5.1227, 5.1227, 5.1403 Å; angles 90.00, 90.00, 90.00 degrees
Fractional coordinates of all 4 atoms:
Nd 0.0000 0.0000 0.0000
Sm 0.0000 0.5000 0.5000
Sm 0.5000 0.0000 0.5000
Y 0.5000 0.5000 0.0000

=====

# 4
First-principles (GGA-PBE) data for a relaxed Zr3TiGa crystal, as listed in Alexandria via LeMat-Bulk.

Properties
The calculation puts the total magnetization at 0.00 Bohr magnetons per cell. The calculated formation energy is 64 kJ/mol of atoms. Its polymorph energy (0 for the lowest one) is 722 meV/atom.

Cell lengths 5.0076, 5.0076, 5.0076 Å; angles 90.00, 90.00, 90.00 degrees
Fractional coordinates of all 5 atoms:
Zr 0.0000 0.0000 0.5000
Zr 0.0000 0.5000 0.0000
Zr 0.5000 0.0000 0.0000
Ti 0.5000 0.5000 0.5000
Ga 0.0000 0.0000 0.0000

=====

# 5
First-principles (GGA-PBE) data for a relaxed Pr2Sn3GeRh4 crystal, as listed in Alexandria via LeMat-Bulk.

Properties
The calculation puts the total magnetization at 0.00 Bohr magnetons per cell. The calculated formation energy is -70 kJ/mol of atoms.

Cell lengths 4.4790, 4.4790, 10.5665 Å; angles 90.00, 90.00, 90.00 degrees
Fractional coordinates of all 10 atoms:
Pr 0.0000 0.5000 0.2423
Pr 0.5000 0.0000 0.7577
Sn 0.0000 0.0000 0.0000
Sn 0.0000 0.5000 0.6327
Sn 0.5000 0.0000 0.3673
Ge 0.5000 0.5000 0.0000
Rh 0.0000 0.0000 0.5000
Rh 0.0000 0.5000 0.8782
Rh 0.5000 0.0000 0.1218
Rh 0.5000 0.5000 0.5000

=====

# 6
First-principles (GGA-PBE) data for a relaxed TcSbI2Br crystal, as listed in Alexandria via LeMat-Bulk.

Properties
The calculation puts the total magnetization at 4.69 Bohr magnetons per cell. Its uncorrected formation energy is 1.405 eV/atom. Its polymorph energy (0 for the lowest one) is 1040 meV/atom.

Cell lengths 5.6984, 5.6984, 5.8577 Å; angles 90.00, 90.00, 90.00 degrees
Fractional coordinates of all 5 atoms:
Tc 0.0000 0.0000 0.0000
Sb 0.5000 0.5000 0.0000
I 0.0000 0.5000 0.5000
I 0.5000 0.0000 0.5000
Br 0.5000 0.5000 0.5000

=====

# 7
First-principles (GGA-PBE) data for a relaxed LiAcTmPb crystal, as listed in Alexandria via LeMat-Bulk.

Properties
The calculation puts the total magnetization at 0.00 Bohr magnetons per cell. The calculated formation energy is -20 kJ/mol of atoms.

Cell lengths 5.5432, 5.5432, 5.5432 Å; angles 60.00, 60.00, 60.00 degrees
Fractional coordinates of all 4 atoms:
Li 0.0000 0.0000 0.0000
Ac 0.2500 0.2500 0.2500
Tm 0.7500 0.7500 0.7500
Pb 0.5000 0.5000 0.5000

=====

# 8
First-principles (GGA-PBE) data for a relaxed K2RbNpO5 crystal, as listed in Alexandria via LeMat-Bulk.

Properties
The calculation puts the total magnetization at 0.00 Bohr magnetons per cell. Its uncorrected formation energy is -2.266 eV/atom.

Cell lengths 7.3276, 7.3276, 7.3276 Å; angles 145.39, 128.12, 63.88 degrees
Fractional coordinates of all 9 atoms:
K 0.2255 0.2255 0.0000
K 0.7745 0.7745 0.0000
Rb 0.5000 0.0000 0.5000
Np 0.0000 0.5000 0.5000
O 0.0000 0.0000 0.0000
O 0.1004 0.3865 0.7138
O 0.3273 0.6135 0.7138
O 0.6727 0.3865 0.2862
O 0.8996 0.6135 0.2862